This record from Alexandria describes Dy2Y3HoBi6 after structural relaxation. The functional is PBE.

Summary:
- energy of formation (eV per atom) = -0.87
- space-group type = No. 12
- D(E_F) (states/eV per cell) = 2.20

Geometry as POSCAR:
```
Dy2Y3HoBi6
1.0
3.8783 -6.7178 0.0000
3.8783 6.7178 0.0000
-2.5823 0.0000 7.3072
Dy Y Ho Bi
2 3 1 6
Direct
0.1665 0.8335 0.0000 Dy
0.8335 0.1665 0.0000 Dy
0.0000 0.0000 0.5000 Y
0.3330 0.6670 0.5000 Y
0.6670 0.3330 0.5000 Y
0.5000 0.5000 0.0000 Ho
0.0843 0.4172 0.7512 Bi
0.2505 0.2505 0.2492 Bi
0.4172 0.0843 0.7512 Bi
0.5828 0.9157 0.2488 Bi
0.7495 0.7495 0.7508 Bi
0.9157 0.5828 0.2488 Bi
```

=====

This record from Alexandria describes Dy2YHoBi5 after structural relaxation. The functional is PBE.

Summary:
- energy of formation (eV per atom) = 0.01
- space-group type = No. 123
- D(E_F) (states/eV per cell) = 6.15

Geometry as POSCAR:
```
Dy2YHoBi5
1.0
5.3987 0.0000 0.0000
0.0000 5.3987 0.0000
0.0000 0.0000 11.8585
Dy Y Ho Bi
2 1 1 5
Direct
0.0000 0.0000 0.2319 Dy
0.0000 0.0000 0.7681 Dy
0.5000 0.5000 0.5000 Y
0.5000 0.5000 0.0000 Ho
0.0000 0.0000 0.5000 Bi
0.0000 0.5000 0.0000 Bi
0.5000 0.0000 0.0000 Bi
0.5000 0.5000 0.2538 Bi
0.5000 0.5000 0.7462 Bi
```

=====

This record from Alexandria describes Dy3Y2HoBi6 after structural relaxation. The functional is PBE.

Summary:
- energy of formation (eV per atom) = -0.87
- space-group type = No. 12
- D(E_F) (states/eV per cell) = 2.01

Geometry as POSCAR:
```
Dy3Y2HoBi6
1.0
9.7528 -2.2377 0.0000
9.7528 2.2377 0.0000
-2.0432 0.0000 8.7158
Dy Y Ho Bi
3 2 1 6
Direct
0.0000 0.0000 0.0000 Dy
0.3330 0.3330 0.6668 Dy
0.6670 0.6670 0.3332 Dy
0.3335 0.3335 0.1669 Y
0.6665 0.6665 0.8331 Y
0.0000 0.0000 0.5000 Ho
0.1663 0.1663 0.5824 Bi
0.1666 0.1666 0.0835 Bi
0.5004 0.5004 0.2510 Bi
0.4996 0.4996 0.7490 Bi
0.8334 0.8334 0.9165 Bi
0.8337 0.8337 0.4176 Bi
```

=====

This record from Alexandria describes Dy3BiI7 after structural relaxation. The functional is PBE.

Summary:
- raw formation energy (eV per atom) = -1.14
- space-group type = No. 156
- D(E_F) (states/eV per cell) = 4.64

Geometry as POSCAR:
```
Dy3BiI7
1.0
8.6492 0.0000 0.0000
-4.3246 7.4904 0.0000
0.0000 0.0000 7.5662
Dy Bi I
3 1 7
Direct
0.1738 0.3475 0.0000 Dy
0.1738 0.8262 0.0000 Dy
0.6525 0.8262 0.0000 Dy
0.3333 0.6667 0.2766 Bi
0.0000 0.0000 0.7597 I
0.0031 0.5015 0.7590 I
0.3291 0.1646 0.2254 I
0.4985 0.5015 0.7590 I
0.4985 0.9969 0.7590 I
0.8354 0.1646 0.2254 I
0.8354 0.6709 0.2254 I
```

=====

This record from Alexandria describes Dy2BiI after structural relaxation. The functional is PBE.

Summary:
- distance to the lowest polymorph of the same formula (meV/atom) = 27
- raw formation energy (eV per atom) = -0.69
- space-group type = No. 166
- D(E_F) (states/eV per cell) = 2.52

Geometry as POSCAR:
```
Dy2BiI
1.0
2.2946 1.3248 6.8357
-2.2946 1.3248 6.8357
0.0000 -2.6496 6.8357
Dy Bi I
2 1 1
Direct
0.2438 0.2438 0.2438 Dy
0.7562 0.7562 0.7562 Dy
0.5000 0.5000 0.5000 Bi
0.0000 0.0000 0.0000 I
```

=====

This record from Alexandria describes Dy2BiI2 after structural relaxation. The functional is PBE.

Summary:
- raw formation energy (eV per atom) = -1.11
- space-group type = No. 166
- D(E_F) (states/eV per cell) = 1.93

Geometry as POSCAR:
```
Dy2BiI2
1.0
2.1947 1.2671 11.2910
-2.1947 1.2671 11.2910
0.0000 -2.5342 11.2910
Dy Bi I
2 1 2
Direct
0.1152 0.1152 0.1152 Dy
0.8848 0.8848 0.8848 Dy
0.5000 0.5000 0.5000 Bi
0.2747 0.2747 0.2747 I
0.7253 0.7253 0.7253 I
```

=====

This record from Alexandria describes Dy2BiI after structural relaxation. The functional is PBE.

Summary:
- distance to the lowest polymorph of the same formula (meV/atom) = 0
- raw formation energy (eV per atom) = -0.72
- space-group type = No. 160
- D(E_F) (states/eV per cell) = 1.37

Geometry as POSCAR:
```
Dy2BiI
1.0
2.1178 1.2227 8.0447
-2.1178 1.2227 8.0447
0.0000 -2.4454 8.0447
Dy Bi I
2 1 1
Direct
0.0000 0.0000 0.0000 Dy
0.1813 0.1813 0.1813 Dy
0.5916 0.5916 0.5916 Bi
0.4224 0.4224 0.4224 I
```

=====

This record from Alexandria describes DyBiI after structural relaxation. The functional is PBE.

Summary:
- raw formation energy (eV per atom) = -0.69
- space-group type = No. 10
- D(E_F) (states/eV per cell) = 3.56

Geometry as POSCAR:
```
DyBiI
1.0
7.3374 0.0000 0.0000
0.0000 3.8662 0.0000
-1.2087 0.0000 7.7131
Dy Bi I
2 2 2
Direct
0.0000 0.0000 0.0000 Dy
0.0000 0.5000 0.5000 Dy
0.2905 0.0000 0.3508 Bi
0.7095 0.0000 0.6492 Bi
0.2614 0.5000 0.8528 I
0.7386 0.5000 0.1472 I
```

=====

This record from Alexandria describes NdDyBiI after structural relaxation. The functional is PBE.

Summary:
- raw formation energy (eV per atom) = -0.76
- space-group type = No. 216
- D(E_F) (states/eV per cell) = 3.74

Geometry as POSCAR:
```
NdDyBiI
1.0
0.0000 3.9046 3.9046
3.9046 0.0000 3.9046
3.9046 3.9046 0.0000
Nd Dy Bi I
1 1 1 1
Direct
0.0000 0.0000 0.0000 Nd
0.5000 0.5000 0.5000 Dy
0.7500 0.7500 0.7500 Bi
0.2500 0.2500 0.2500 I
```

=====

This record from Alexandria describes Dy2BiIO8 after structural relaxation. The functional is PBE.

Summary:
- raw formation energy (eV per atom) = -1.85
- space-group type = No. 65

Geometry as POSCAR:
```
Dy2BiIO8
1.0
3.5596 -3.5890 0.0000
3.5596 3.5890 0.0000
0.0000 0.0000 6.9623
Dy Bi I O
2 1 1 8
Direct
0.0000 0.0000 0.2493 Dy
0.0000 0.0000 0.7507 Dy
0.5000 0.5000 0.0000 Bi
0.5000 0.5000 0.5000 I
0.1844 0.1844 0.0000 O
0.2319 0.2319 0.5000 O
0.3176 0.6824 0.2982 O
0.3176 0.6824 0.7018 O
0.6824 0.3176 0.2982 O
0.6824 0.3176 0.7018 O
0.7681 0.7681 0.5000 O
0.8156 0.8156 0.0000 O
```

=====

This record from Alexandria describes PrDyBiI after structural relaxation. The functional is PBE.

Summary:
- raw formation energy (eV per atom) = -0.77
- space-group type = No. 216
- D(E_F) (states/eV per cell) = 4.12

Geometry as POSCAR:
```
PrDyBiI
1.0
0.0000 3.9156 3.9156
3.9156 0.0000 3.9156
3.9156 3.9156 0.0000
Pr Dy Bi I
1 1 1 1
Direct
0.0000 0.0000 0.0000 Pr
0.5000 0.5000 0.5000 Dy
0.2500 0.2500 0.2500 Bi
0.7500 0.7500 0.7500 I
```

=====

This record from Alexandria describes SmDyBiI after structural relaxation. The functional is PBE.

Summary:
- raw formation energy (eV per atom) = -0.74
- space-group type = No. 216
- D(E_F) (states/eV per cell) = 3.04

Geometry as POSCAR:
```
SmDyBiI
1.0
0.0000 3.8877 3.8877
3.8877 0.0000 3.8877
3.8877 3.8877 0.0000
Sm Dy Bi I
1 1 1 1
Direct
0.0000 0.0000 0.0000 Sm
0.5000 0.5000 0.5000 Dy
0.7500 0.7500 0.7500 Bi
0.2500 0.2500 0.2500 I
```

=====

This record from Alexandria describes Dy8InBi2 after structural relaxation. The functional is PBE.

Summary:
- energy of formation (eV per atom) = -0.23
- space-group type = No. 12
- D(E_F) (states/eV per cell) = 13.97

Geometry as POSCAR:
```
Dy8InBi2
1.0
4.2603 -7.0896 0.0000
4.2603 7.0896 0.0000
-1.7840 0.0000 5.7144
Dy In Bi
8 1 2
Direct
0.0907 0.3170 0.6545 Dy
0.2317 0.7683 0.0000 Dy
0.3170 0.0907 0.6545 Dy
0.3946 0.3946 0.2051 Dy
0.6054 0.6054 0.7949 Dy
0.6830 0.9093 0.3455 Dy
0.7683 0.2317 0.0000 Dy
0.9093 0.6830 0.3455 Dy
0.0000 0.0000 0.0000 In
0.3043 0.6957 0.5000 Bi
0.6957 0.3043 0.5000 Bi
```

=====

This record from Alexandria describes DyInBi2 after structural relaxation. The functional is PBE.

Summary:
- distance to the lowest polymorph of the same formula (meV/atom) = 0
- energy of formation (eV per atom) = -0.39
- space-group type = No. 123
- D(E_F) (states/eV per cell) = 2.96

Geometry as POSCAR:
```
DyInBi2
1.0
4.2005 0.0000 0.0000
0.0000 4.2005 0.0000
0.0000 0.0000 6.6842
Dy In Bi
1 1 2
Direct
0.0000 0.0000 0.0000 Dy
0.0000 0.0000 0.5000 In
0.5000 0.5000 0.2383 Bi
0.5000 0.5000 0.7617 Bi
```

=====

This record from Alexandria describes Dy8In2Bi after structural relaxation. The functional is PBE.

Summary:
- energy of formation (eV per atom) = -0.25
- space-group type = No. 12
- D(E_F) (states/eV per cell) = 12.59

Geometry as POSCAR:
```
Dy8In2Bi
1.0
9.7207 -2.5496 0.0000
9.7207 2.5496 0.0000
-1.5384 0.0000 6.7843
Dy In Bi
8 2 1
Direct
0.0258 0.0258 0.2540 Dy
0.2123 0.2123 0.8149 Dy
0.3411 0.3411 0.5186 Dy
0.4068 0.4068 0.0300 Dy
0.5932 0.5932 0.9700 Dy
0.6589 0.6589 0.4814 Dy
0.7877 0.7877 0.1851 Dy
0.9742 0.9742 0.7460 Dy
0.1860 0.1860 0.2504 In
0.8140 0.8140 0.7496 In
0.5000 0.5000 0.5000 Bi
```

=====

This record from Alexandria describes Dy2InBi after structural relaxation. The functional is PBE.

Summary:
- distance to the lowest polymorph of the same formula (meV/atom) = 66
- energy of formation (eV per atom) = -0.49
- space-group type = No. 166
- D(E_F) (states/eV per cell) = 1.96

Geometry as POSCAR:
```
Dy2InBi
1.0
2.1071 1.2165 8.0771
-2.1071 1.2165 8.0771
0.0000 -2.4330 8.0771
Dy In Bi
2 1 1
Direct
0.2458 0.2458 0.2458 Dy
0.7542 0.7542 0.7542 Dy
0.0000 0.0000 0.0000 In
0.5000 0.5000 0.5000 Bi
```

=====

This record from Alexandria describes Dy5InBi4 after structural relaxation. The functional is PBE.

Summary:
- energy of formation (eV per atom) = -0.68
- space-group type = No. 87
- D(E_F) (states/eV per cell) = 6.27

Geometry as POSCAR:
```
Dy5InBi4
1.0
-4.9923 4.9923 3.1499
4.9923 -4.9923 3.1499
4.9923 4.9923 -3.1499
Dy In Bi
5 1 4
Direct
0.0000 0.0000 0.0000 Dy
0.1978 0.6022 0.8000 Dy
0.3978 0.1978 0.5955 Dy
0.6022 0.8022 0.4045 Dy
0.8022 0.3978 0.2000 Dy
0.5000 0.5000 0.0000 In
0.0993 0.2998 0.3991 Bi
0.2998 0.9007 0.2005 Bi
0.7002 0.0993 0.7995 Bi
0.9007 0.7002 0.6009 Bi
```

=====

This record from Alexandria describes Dy2InBi after structural relaxation. The functional is PBE.

Summary:
- distance to the lowest polymorph of the same formula (meV/atom) = 0
- energy of formation (eV per atom) = -0.56
- space-group type = No. 38
- D(E_F) (states/eV per cell) = 2.85

Geometry as POSCAR:
```
Dy2InBi
1.0
4.4068 0.0000 0.0000
0.0000 2.2477 5.8299
0.0000 -2.2477 5.8299
Dy In Bi
2 1 1
Direct
0.0000 0.0000 0.0000 Dy
0.5000 0.2642 0.2642 Dy
0.5000 0.5272 0.5272 In
0.0000 0.7257 0.7257 Bi
```

=====

This record from Alexandria describes DyIn2Bi after structural relaxation. The functional is PBE.

Summary:
- energy of formation (eV per atom) = -0.37
- space-group type = No. 123
- D(E_F) (states/eV per cell) = 1.49

Geometry as POSCAR:
```
DyIn2Bi
1.0
4.7901 0.0000 0.0000
0.0000 4.7901 0.0000
0.0000 0.0000 4.7346
Dy In Bi
1 2 1
Direct
0.0000 0.0000 0.0000 Dy
0.0000 0.5000 0.5000 In
0.5000 0.0000 0.5000 In
0.5000 0.5000 0.0000 Bi
```

=====

This record from Alexandria describes Dy2InBi after structural relaxation. The functional is PBE.

Summary:
- distance to the lowest polymorph of the same formula (meV/atom) = 33
- energy of formation (eV per atom) = -0.53
- space-group type = No. 123
- D(E_F) (states/eV per cell) = 3.30

Geometry as POSCAR:
```
Dy2InBi
1.0
4.0207 0.0000 0.0000
0.0000 4.0207 0.0000
0.0000 0.0000 6.9094
Dy In Bi
2 1 1
Direct
0.0000 0.0000 0.2482 Dy
0.0000 0.0000 0.7518 Dy
0.5000 0.5000 0.5000 In
0.5000 0.5000 0.0000 Bi
```

=====

| no. | V (A^3/atom) | E (eV per cell) |
| --- | --- | --- |
| 1 | 31.73 | -66.955 |
| 2 | 38.40 | -39.523 |
| 3 | 31.70 | -65.019 |
| 4 | 44.56 | -41.132 |
| 5 | 31.17 | -17.402 |
| 6 | 37.68 | -21.739 |
| 7 | 31.25 | -17.510 |
| 8 | 36.47 | -24.205 |
| 9 | 29.76 | -17.850 |
| 10 | 14.82 | -76.486 |
| 11 | 30.02 | -17.900 |
| 12 | 29.38 | -17.714 |
| 13 | 31.38 | -49.867 |
| 14 | 29.48 | -16.644 |
| 15 | 30.57 | -48.971 |
| 16 | 31.06 | -17.800 |
| 17 | 31.40 | -48.103 |
| 18 | 28.87 | -18.064 |
| 19 | 27.16 | -15.422 |
| 20 | 27.92 | -17.931 |